# 1
# NbCoSe2N, optimized geometry, DFT PBEsol
data_NbCoSe2N
_chemical_formula_sum 'Nb1 Co1 Se2 N1'
_cell_length_a 4.802
_cell_length_b 4.802
_cell_length_c 3.338
_cell_angle_alpha 90.00
_cell_angle_beta 90.00
_cell_angle_gamma 90.00
_symmetry_space_group_name_H-M 'P 1'
_symmetry_Int_Tables_number 1
loop_
_symmetry_equiv_pos_as_xyz
'x,y,z'
loop_
_atom_site_label
_atom_site_fract_x
_atom_site_fract_y
_atom_site_fract_z
_atom_site_occupancy
Nb1 0.000 0.000 0.000 1
Co1 0.500 0.500 0.500 1
Se1 0.000 0.500 0.500 1
Se2 0.500 0.000 0.500 1
N1 0.500 0.500 0.000 1
# ΔE_f (raw) = 5.608 kcal/mol of atoms

***

# 2
# Fe3SBr, optimized geometry, DFT PBEsol
data_Fe3SBr
_chemical_formula_sum 'Fe3 S1 Br1'
_cell_length_a 4.267
_cell_length_b 4.267
_cell_length_c 4.267
_cell_angle_alpha 90.00
_cell_angle_beta 90.00
_cell_angle_gamma 90.00
_symmetry_space_group_name_H-M 'P 1'
_symmetry_Int_Tables_number 1
loop_
_symmetry_equiv_pos_as_xyz
'x,y,z'
loop_
_atom_site_label
_atom_site_fract_x
_atom_site_fract_y
_atom_site_fract_z
_atom_site_occupancy
Fe1 0.000 0.000 0.500 1
Fe2 0.000 0.500 0.000 1
Fe3 0.500 0.000 0.000 1
S1 0.000 0.000 0.000 1
Br1 0.500 0.500 0.500 1
# ΔE_f (raw) = 10.488 kcal/mol of atoms
# energy relative to the lowest polymorph listed for this composition = 0 meV per atom

***

# 3
# KZnCu, optimized geometry, DFT PBEsol
data_KZnCu
_chemical_formula_sum 'K1 Zn1 Cu1'
_cell_length_a 6.353
_cell_length_b 6.353
_cell_length_c 6.353
_cell_angle_alpha 149.18
_cell_angle_beta 149.18
_cell_angle_gamma 44.15
_symmetry_space_group_name_H-M 'P 1'
_symmetry_Int_Tables_number 1
loop_
_symmetry_equiv_pos_as_xyz
'x,y,z'
loop_
_atom_site_label
_atom_site_fract_x
_atom_site_fract_y
_atom_site_fract_z
_atom_site_occupancy
K1 0.000 0.000 0.000 1
Zn1 0.732 0.732 0.000 1
Cu1 0.270 0.270 0.000 1
# formation energy from the elements = 0.2397 eV/atom

***

# 4
# TiPb3F, optimized geometry, DFT PBEsol
data_TiPb3F
_chemical_formula_sum 'Ti1 Pb3 F1'
_cell_length_a 5.293
_cell_length_b 5.293
_cell_length_c 5.293
_cell_angle_alpha 90.00
_cell_angle_beta 90.00
_cell_angle_gamma 90.00
_symmetry_space_group_name_H-M 'P 1'
_symmetry_Int_Tables_number 1
loop_
_symmetry_equiv_pos_as_xyz
'x,y,z'
loop_
_atom_site_label
_atom_site_fract_x
_atom_site_fract_y
_atom_site_fract_z
_atom_site_occupancy
Ti1 0.000 0.000 0.000 1
Pb1 0.000 0.000 0.500 1
Pb2 0.000 0.500 0.000 1
Pb3 0.500 0.000 0.000 1
F1 0.500 0.500 0.500 1
# ΔE_f (raw) = 0.094 kcal/mol of atoms

***

# 5
# NaCo3Ir, optimized geometry, DFT PBEsol
data_NaCo3Ir
_chemical_formula_sum 'Na1 Co3 Ir1'
_cell_length_a 4.566
_cell_length_b 4.566
_cell_length_c 4.566
_cell_angle_alpha 90.00
_cell_angle_beta 90.00
_cell_angle_gamma 90.00
_symmetry_space_group_name_H-M 'P 1'
_symmetry_Int_Tables_number 1
loop_
_symmetry_equiv_pos_as_xyz
'x,y,z'
loop_
_atom_site_label
_atom_site_fract_x
_atom_site_fract_y
_atom_site_fract_z
_atom_site_occupancy
Na1 0.000 0.000 0.000 1
Co1 0.000 0.500 0.500 1
Co2 0.500 0.000 0.500 1
Co3 0.500 0.500 0.000 1
Ir1 0.500 0.500 0.500 1
# formation energy from the elements = 1.2586 eV/atom

***

# 6
# AlMo3, optimized geometry, DFT PBEsol
data_AlMo3
_chemical_formula_sum 'Al1 Mo3'
_cell_length_a 5.052
_cell_length_b 5.052
_cell_length_c 2.669
_cell_angle_alpha 90.00
_cell_angle_beta 90.00
_cell_angle_gamma 116.75
_symmetry_space_group_name_H-M 'P 1'
_symmetry_Int_Tables_number 1
loop_
_symmetry_equiv_pos_as_xyz
'x,y,z'
loop_
_atom_site_label
_atom_site_fract_x
_atom_site_fract_y
_atom_site_fract_z
_atom_site_occupancy
Al1 0.000 0.000 0.000 1
Mo1 0.000 0.500 0.500 1
Mo2 0.500 0.000 0.500 1
Mo3 0.500 0.500 0.000 1
# energy relative to the lowest polymorph listed for this composition = 366 meV per atom
# formation energy from the elements = 0.1277 eV/atom

***

# 7
# Ta3TiCu, optimized geometry, DFT PBEsol
data_Ta3TiCu
_chemical_formula_sum 'Ta3 Ti1 Cu1'
_cell_length_a 4.591
_cell_length_b 4.591
_cell_length_c 4.591
_cell_angle_alpha 90.00
_cell_angle_beta 90.00
_cell_angle_gamma 90.00
_symmetry_space_group_name_H-M 'P 1'
_symmetry_Int_Tables_number 1
loop_
_symmetry_equiv_pos_as_xyz
'x,y,z'
loop_
_atom_site_label
_atom_site_fract_x
_atom_site_fract_y
_atom_site_fract_z
_atom_site_occupancy
Ta1 0.000 0.000 0.500 1
Ta2 0.000 0.500 0.000 1
Ta3 0.500 0.000 0.000 1
Ti1 0.000 0.000 0.000 1
Cu1 0.500 0.500 0.500 1
# formation energy from the elements = 1.6725 eV/atom

***

# 8
# ReSiSe, optimized geometry, DFT PBEsol
data_ReSiSe
_chemical_formula_sum 'Re1 Si1 Se1'
_cell_length_a 6.034
_cell_length_b 6.034
_cell_length_c 6.034
_cell_angle_alpha 151.48
_cell_angle_beta 151.48
_cell_angle_gamma 40.77
_symmetry_space_group_name_H-M 'P 1'
_symmetry_Int_Tables_number 1
loop_
_symmetry_equiv_pos_as_xyz
'x,y,z'
loop_
_atom_site_label
_atom_site_fract_x
_atom_site_fract_y
_atom_site_fract_z
_atom_site_occupancy
Re1 0.000 0.000 0.000 1
Si1 0.366 0.366 0.000 1
Se1 0.634 0.634 0.000 1
# ΔE_f (raw) = 5.208 kcal/mol of atoms
# energy relative to the lowest polymorph listed for this composition = 0 meV per atom